Material: Ac2GaBi3
Method: DFT, PBE
State: optimized geometry

Cell and atoms, written as extended XYZ:
```
6
Lattice="5.865 0.000 0.000 0.000 6.791 0.000 -2.932 -3.395 5.433" Properties=species:S:1:pos:R:3 pbc="T T T"
Ga 0.000 3.395 0.000
Bi 0.000 0.000 3.847
Bi 0.000 0.000 0.000
Ac 0.000 3.395 3.324
Bi 2.932 3.395 1.586
Ac 2.932 0.000 2.109
```

The formation energy from the elements comes out at -0.4807 eV per atom.

---

Material: AcGaBi2
Method: DFT, PBE
State: optimized geometry

Cell and atoms, written as extended XYZ:
```
4
Lattice="4.948 0.000 0.000 0.000 4.989 0.000 0.000 0.000 4.989" Properties=species:S:1:pos:R:3 pbc="T T T"
Ac 2.474 2.495 2.495
Ga 2.474 0.000 0.000
Bi 0.000 0.000 2.495
Bi 0.000 2.495 0.000
```

For the relative energy among the computed polymorphs, the calculation gives 0 meV/atom. The formation energy from the elements comes out at -0.4805 eV per atom.

---

Material: AcGaBi3
Method: DFT, PBE
State: optimized geometry

Cell and atoms, written as extended XYZ:
```
20
Lattice="6.736 0.000 0.000 0.000 6.511 0.000 0.000 0.000 14.756" Properties=species:S:1:pos:R:3 pbc="T T T"
Bi 0.000 1.628 7.391
Ac 5.052 0.053 4.647
Bi 1.684 3.172 11.109
Bi 3.368 4.883 7.366
Bi 5.052 5.425 1.119
Bi 5.052 2.170 13.638
Bi 1.684 4.341 1.119
Bi 5.052 0.083 11.109
Ga 0.000 4.883 13.133
Bi 3.368 1.628 7.391
Bi 0.000 4.883 7.366
Ga 0.000 1.628 1.624
Ac 5.052 3.308 10.109
Bi 1.684 6.428 3.647
Bi 5.052 3.339 3.647
Ac 1.684 6.458 10.109
Ga 3.368 4.883 13.133
Ga 3.368 1.628 1.624
Bi 1.684 1.086 13.638
Ac 1.684 3.203 4.647
```

For the relative energy among the computed polymorphs, the calculation gives 0 meV/atom. The formation energy from the elements comes out at -0.3520 eV per atom.

---

Material: AcGaBi3
Method: DFT, PBE
State: optimized geometry

Cell and atoms, written as extended XYZ:
```
5
Lattice="5.546 0.000 0.000 0.000 5.546 0.000 0.000 0.000 5.546" Properties=species:S:1:pos:R:3 pbc="T T T"
Bi 0.000 2.773 0.000
Ga 0.000 0.000 0.000
Bi 2.773 0.000 0.000
Ac 2.773 2.773 2.773
Bi 0.000 0.000 2.773
```

For the relative energy among the computed polymorphs, the calculation gives 298 meV/atom. The formation energy from the elements comes out at -0.0535 eV per atom.

---

Material: AcGaBi2
Method: DFT, PBE
State: optimized geometry

Cell and atoms, written as extended XYZ:
```
4
Lattice="4.515 0.000 0.000 2.258 3.910 0.000 2.258 1.303 7.849" Properties=species:S:1:pos:R:3 pbc="T T T"
Bi 2.258 1.303 1.637
Bi 6.773 3.910 6.212
Ac 4.515 2.607 3.924
Ga 0.000 0.000 0.000
```

For the relative energy among the computed polymorphs, the calculation gives 306 meV/atom. The formation energy from the elements comes out at -0.1745 eV per atom.

---

Material: AcGaBi
Method: DFT, PBE
State: optimized geometry

Cell and atoms, written as extended XYZ:
```
3
Lattice="3.979 0.493 0.000 -0.895 3.909 0.000 -1.542 -2.201 5.751" Properties=species:S:1:pos:R:3 pbc="T T T"
Bi 0.000 0.000 0.303
Ac 0.000 0.000 3.787
Ga 1.542 2.201 1.661
```

For the relative energy among the computed polymorphs, the calculation gives 134 meV/atom. The formation energy from the elements comes out at -0.3937 eV per atom.

---

Material: AcGaBi2
Method: DFT, PBE
State: optimized geometry

Cell and atoms, written as extended XYZ:
```
4
Lattice="5.693 0.000 0.000 2.846 4.930 0.000 2.846 1.643 4.648" Properties=species:S:1:pos:R:3 pbc="T T T"
Bi 2.846 1.643 1.162
Ac 0.000 0.000 0.000
Bi 8.539 4.930 3.486
Ga 5.693 3.287 2.324
```

For the relative energy among the computed polymorphs, the calculation gives 204 meV/atom. The formation energy from the elements comes out at -0.2768 eV per atom.

---

Material: AcGaBi2
Method: DFT, PBE
State: optimized geometry

Cell and atoms, written as extended XYZ:
```
8
Lattice="-2.391 3.220 3.056 2.884 -1.512 3.850 6.619 7.007 -2.206" Properties=species:S:1:pos:R:3 pbc="T T T"
Ac 3.066 0.964 1.384
Bi -0.092 2.778 1.160
Bi 6.957 5.083 0.087
Ga 0.246 0.854 3.453
Bi 3.309 3.504 -1.103
Ga 0.000 0.000 0.000
Ac 3.799 6.898 -0.137
Bi 3.556 4.358 2.350
```

For the relative energy among the computed polymorphs, the calculation gives 21 meV/atom. The formation energy from the elements comes out at -0.4595 eV per atom.

---

Material: AcGa4Bi
Method: DFT, PBE
State: optimized geometry

Cell and atoms, written as extended XYZ:
```
6
Lattice="-1.765 -2.610 4.977 -2.087 -5.506 -0.142 3.162 -4.408 2.295" Properties=species:S:1:pos:R:3 pbc="T T T"
Ga -2.023 -5.620 3.307
Ga 0.618 -5.067 4.533
Ga 0.456 -6.525 1.957
Ga -0.432 -7.838 4.462
Bi 0.000 0.000 0.000
Ac -0.173 -3.131 1.782
```

The formation energy from the elements comes out at -0.2230 eV per atom.

---

Material: AcGaBi
Method: DFT, PBE
State: optimized geometry

Cell and atoms, written as extended XYZ:
```
3
Lattice="4.363 0.000 0.000 0.000 5.045 0.000 0.000 -2.522 4.369" Properties=species:S:1:pos:R:3 pbc="T T T"
Ac 1.457 2.522 1.456
Ga 3.628 0.000 0.000
Bi 3.640 0.000 2.913
```

For the relative energy among the computed polymorphs, the calculation gives 0 meV/atom. The formation energy from the elements comes out at -0.5279 eV per atom.

---

Material: AcGaBi
Method: DFT, PBE
State: optimized geometry

Cell and atoms, written as extended XYZ:
```
3
Lattice="4.677 0.000 0.000 0.000 4.677 0.000 -2.338 -2.338 4.676" Properties=species:S:1:pos:R:3 pbc="T T T"
Ac 0.000 0.000 2.584
Ga 2.338 2.338 4.069
Bi 2.338 2.338 1.297
```

For the relative energy among the computed polymorphs, the calculation gives 130 meV/atom. The formation energy from the elements comes out at -0.3979 eV per atom.

---

Material: Ac5Ga2Bi
Method: DFT, PBE
State: optimized geometry

Cell and atoms, written as extended XYZ:
```
16
Lattice="-0.865 -7.276 -5.259 4.619 -4.891 6.008 -7.916 4.423 2.917" Properties=species:S:1:pos:R:3 pbc="T T T"
Ac -3.319 0.562 5.107
Ga 1.514 -2.791 1.370
Ga 3.642 -6.765 3.270
Ac 1.185 -4.799 4.050
Bi -1.142 -6.914 2.020
Bi -3.019 -0.830 1.646
Ac -2.873 -4.006 3.620
Ac 0.000 0.000 0.000
Ac 1.877 -6.084 0.374
Ga 2.240 -9.376 -0.621
Ac -0.843 -8.307 -1.441
Ga 0.112 -5.403 -2.521
Ac -5.347 -2.945 -0.384
Ac 1.632 -9.368 2.563
Ac -5.793 1.623 1.103
Ac -1.289 -3.738 0.045
```

The formation energy from the elements comes out at -0.5063 eV per atom.

---

Material: AcGaBi2
Method: DFT, PBE
State: optimized geometry

Cell and atoms, written as extended XYZ:
```
4
Lattice="-4.040 0.673 1.551 -1.431 -3.500 -2.208 1.371 -3.877 5.257" Properties=species:S:1:pos:R:3 pbc="T T T"
Ac -2.050 -3.352 2.299
Bi 1.050 -2.969 4.025
Ga -2.735 -1.413 -0.329
Bi 0.321 -0.908 1.232
```

For the relative energy among the computed polymorphs, the calculation gives 89 meV/atom. The formation energy from the elements comes out at -0.3920 eV per atom.

---

Material: AcGaBi
Method: DFT, PBE
State: optimized geometry

Cell and atoms, written as extended XYZ:
```
3
Lattice="5.458 0.000 0.000 2.729 4.726 0.000 2.729 1.575 4.456" Properties=species:S:1:pos:R:3 pbc="T T T"
Ac 2.729 1.575 1.114
Ga 0.000 0.000 0.000
Bi 5.458 3.151 2.228
```

For the relative energy among the computed polymorphs, the calculation gives 357 meV/atom. The formation energy from the elements comes out at -0.1713 eV per atom.

---

Material: AcGaBi
Method: DFT, PBE
State: optimized geometry

Cell and atoms, written as extended XYZ:
```
6
Lattice="4.390 0.000 -0.003 2.195 3.802 -0.001 2.195 1.261 11.613" Properties=species:S:1:pos:R:3 pbc="T T T"
Ac 3.736 1.191 8.394
Bi 3.734 3.729 1.181
Ac 3.733 1.192 3.754
Bi 3.735 3.724 10.830
Ga 3.734 3.726 5.900
Ga 5.929 2.459 6.177
```

For the relative energy among the computed polymorphs, the calculation gives 120 meV/atom. The formation energy from the elements comes out at -0.4083 eV per atom.

---

Material: AcGdGaBi
Method: DFT, PBE
State: optimized geometry

Cell and atoms, written as extended XYZ:
```
4
Lattice="-2.586 -3.910 3.022 -0.576 -5.164 -2.027 2.923 -4.205 2.208" Properties=species:S:1:pos:R:3 pbc="T T T"
Gd 0.000 0.000 0.000
Ga -0.179 -9.959 2.402
Ac -0.120 -6.639 1.602
Bi -0.060 -3.320 0.801
```

The formation energy from the elements comes out at -0.4853 eV per atom.

---

Material: AcGaGeBi
Method: DFT, PBE
State: optimized geometry

Cell and atoms, written as extended XYZ:
```
4
Lattice="-0.786 4.619 2.687 -4.583 0.778 2.751 0.064 0.027 5.401" Properties=species:S:1:pos:R:3 pbc="T T T"
Ac 0.000 0.000 0.000
Ge -1.326 1.356 2.710
Ga -3.979 4.068 8.129
Bi -2.653 2.712 5.420
```

The formation energy from the elements comes out at -0.2424 eV per atom.

---

Material: KAcGaBi
Method: DFT, PBE
State: optimized geometry

Cell and atoms, written as extended XYZ:
```
4
Lattice="5.773 0.000 0.000 2.886 4.999 0.000 2.886 1.666 4.714" Properties=species:S:1:pos:R:3 pbc="T T T"
K 5.773 3.333 2.357
Ga 2.886 1.666 1.178
Bi 8.659 4.999 3.535
Ac 0.000 0.000 0.000
```

The formation energy from the elements comes out at -0.2701 eV per atom.

---

Material: LiAcGaBi
Method: DFT, PBE
State: optimized geometry

Cell and atoms, written as extended XYZ:
```
4
Lattice="-3.586 1.654 3.614 -5.164 0.409 -1.347 -3.570 -3.450 2.001" Properties=species:S:1:pos:R:3 pbc="T T T"
Ga -3.080 -0.347 1.067
Li -9.240 -1.040 3.201
Ac -6.160 -0.694 2.134
Bi 0.000 0.000 0.000
```

The formation energy from the elements comes out at -0.3245 eV per atom.

---

Material: Ac4GaBiN
Method: DFT, PBE
State: optimized geometry

Cell and atoms, written as extended XYZ:
```
14
Lattice="7.233 0.000 0.000 0.000 7.215 0.000 -3.617 0.000 9.034" Properties=species:S:1:pos:R:3 pbc="T T T"
Ac 0.000 5.411 7.508
Ac 1.808 0.000 4.517
Ac -1.808 3.607 4.517
Ac 1.808 3.607 4.517
Bi 0.000 1.804 7.051
N 0.000 5.411 5.062
N 3.617 1.804 3.972
Ga 3.617 5.411 6.891
Ac 0.000 5.411 1.089
Ac 3.617 1.804 1.527
Ac -1.808 0.000 4.517
Ga 0.000 1.804 2.143
Ac 3.617 1.804 7.946
Bi 3.617 5.411 1.983
```

As for the uncorrected formation energy: -708 meV/atom.

---

Material: Na2AcGaBi2
Method: DFT, PBE
State: optimized geometry

Cell and atoms, written as extended XYZ:
```
12
Lattice="-0.185 -3.874 -2.775 -4.796 -4.145 6.106 -7.855 3.227 -3.979" Properties=species:S:1:pos:R:3 pbc="T T T"
Na -2.885 -1.032 1.633
Ac -3.756 1.526 -1.879
Ga -6.069 -0.337 -3.223
Bi -5.002 -2.539 3.878
Bi -8.810 -2.996 0.673
Ac -6.524 -0.395 0.987
Na -0.890 -1.796 -1.531
Bi -4.111 -1.869 -1.214
Na -9.842 -1.177 -1.798
Na -10.846 -0.820 1.868
Bi -7.660 1.611 -1.737
Ga -5.710 -3.542 1.228
```

The formation energy from the elements comes out at -0.4425 eV per atom.

---

Material: AcNdGaBi
Method: DFT, PBE
State: optimized geometry

Cell and atoms, written as extended XYZ:
```
4
Lattice="-1.327 -3.055 -4.534 3.214 -4.373 -1.484 -1.934 -5.248 0.612" Properties=species:S:1:pos:R:3 pbc="T T T"
Bi -0.035 -9.508 -4.055
Ga -0.012 -3.169 -1.352
Nd -0.023 -6.338 -2.703
Ac 0.000 0.000 0.000
```

The formation energy from the elements comes out at -0.4884 eV per atom.

---

Material: AcGaNiBi
Method: DFT, PBE
State: optimized geometry

Cell and atoms, written as extended XYZ:
```
4
Lattice="5.167 0.000 0.000 2.583 4.474 0.000 2.583 1.491 4.218" Properties=species:S:1:pos:R:3 pbc="T T T"
Ac 7.750 4.474 3.164
Ga 5.167 2.983 2.109
Ni 0.000 0.000 0.000
Bi 2.583 1.491 1.055
```

The formation energy from the elements comes out at -0.1958 eV per atom.

---

Material: AcGaBiO5
Method: DFT, PBE
State: optimized geometry

Cell and atoms, written as extended XYZ:
```
16
Lattice="6.103 -0.066 0.002 -1.844 5.818 0.002 -1.767 -2.387 7.224" Properties=species:S:1:pos:R:3 pbc="T T T"
O -0.751 3.775 4.466
Bi -0.884 -1.193 3.612
O 0.740 1.978 6.690
O 4.074 -1.335 5.421
O 4.713 1.577 0.854
O 2.559 2.479 3.078
Bi 0.000 0.000 0.000
Ga -0.653 2.164 5.421
O 1.751 1.387 0.539
Ga 3.144 1.201 1.808
O -1.583 4.700 1.808
O -2.222 1.788 6.375
Ac 0.429 3.211 1.808
O 3.242 -0.410 2.763
Ac 2.062 0.154 5.421
O -0.068 0.886 4.151
```

As for the uncorrected formation energy: -2020 meV/atom.

---

Material: Ac2GaBiO6
Method: DFT, PBE
State: optimized geometry

Cell and atoms, written as extended XYZ:
```
10
Lattice="5.266 0.000 0.000 0.000 5.646 0.000 0.000 0.000 5.646" Properties=species:S:1:pos:R:3 pbc="T T T"
Ac 0.065 0.000 2.823
O 3.831 1.314 4.332
O 3.831 4.332 1.314
Ga 3.101 0.000 0.000
O 0.657 2.823 2.823
Ac 0.065 2.823 0.000
O 3.831 4.332 4.332
O 3.831 1.314 1.314
Bi 2.976 2.823 2.823
O 1.232 0.000 0.000
```

As for the uncorrected formation energy: -2340 meV/atom.

---

Material: Ac3Ga2BiO9
Method: DFT, PBE
State: optimized geometry

Cell and atoms, written as extended XYZ:
```
15
Lattice="-5.428 1.920 -0.187 1.045 -5.654 0.344 -0.106 0.449 7.704" Properties=species:S:1:pos:R:3 pbc="T T T"
Ga -3.358 -0.233 6.370
Ac -3.298 -0.489 1.981
Ac -1.191 -2.797 5.880
O -4.430 0.982 5.369
Ga -1.131 -3.052 1.491
O -2.787 -3.303 2.399
O -3.905 -1.859 5.542
O -2.191 -1.867 0.079
O -1.702 0.018 5.463
O -2.714 0.960 -0.093
O -0.059 -4.268 2.492
O -0.584 -1.427 2.320
Bi -0.053 0.224 3.852
O 0.523 -2.827 0.172
Ac 0.000 0.000 0.000
```

As for the uncorrected formation energy: -2397 meV/atom.